Entry 1:
Entry from Alexandria via LeMat-Bulk: a relaxed TcNi2Hg2 crystal (PBE).

Unit cell a=6.368 b=6.368 c=3.991 alpha=90.00 beta=90.00 gamma=90.00
Element x y z (fractional)
Tc 0.000 0.000 0.000
Tc 0.500 0.500 0.000
Ni 0.130 0.370 0.000
Ni 0.370 0.870 0.000
Ni 0.630 0.130 0.000
Ni 0.870 0.630 0.000
Hg 0.176 0.676 0.500
Hg 0.324 0.176 0.500
Hg 0.676 0.824 0.500
Hg 0.824 0.324 0.500

Summary:
The value obtained for the magnetization is 2.20 Bohr magnetons per cell. The space-group type is P4/mbm (127). The calculation puts the formation energy at 234 kJ/mol of formula units.

=====

Entry 2:
Entry from Alexandria via LeMat-Bulk: a relaxed CrSeS crystal (PBE).

Unit cell a=5.726 b=3.009 c=7.520 alpha=90.00 beta=104.63 gamma=90.00
Element x y z (fractional)
Cr 0.191 0.250 0.010
Cr 0.809 0.750 0.990
Se 0.370 0.750 0.811
Se 0.630 0.250 0.189
S 0.150 0.750 0.222
S 0.850 0.250 0.778

Summary:
The value obtained for the magnetization is 0.00 Bohr magnetons per cell. The space-group type is P2_1/m (11). For the uncorrected formation energy, the calculation gives -0.544 eV per atom.

=====

Table of energy above the lowest structure with this stoichiometry (kJ/mol of atoms), in record order: 0.0, 0.0
Table of uncorrected energy (eV/atom), in record order: -4.021, -6.289